(1)
A relaxed structure of LiCr3, computed with GGA-PBE.

Cell: 2.338 4.143 4.869 Å, 90.00 98.28 90.00°
Space group P2/m (No. 10)
Symmetry-distinct sites (fractional):
Li  0.000  0.000  0.000
Cr  0.232  0.500  0.741
Cr  0.500  0.000  0.500

- calculated formation energy (meV per atom) = 356



(2)
A relaxed structure of LiCr, computed with GGA-PBE.

Cell: 8.346 8.346 8.346 Å, 90.00 90.00 90.00°
Space group I-43m (No. 217)
Symmetry-distinct sites (fractional):
Li  0.207  0.207  0.207
Cr  0.091  0.091  0.909

- calculated formation energy (meV per atom) = 1487
- relative energy among the computed polymorphs (eV per formula unit) = 2.413



(3)
A relaxed structure of LiCr3, computed with GGA-PBE.

Cell: 4.921 8.282 2.305 Å, 90.00 90.00 90.00°
Space group Cmmm (No. 65)
Symmetry-distinct sites (fractional):
Li  0.000  0.000  0.000
Cr  0.000  0.500  0.000
Cr  0.250  0.250  0.500

- calculated formation energy (meV per atom) = 449



(4)
A relaxed structure of LiCr3, computed with GGA-PBE.

Cell: 2.825 3.981 8.679 Å, 90.00 90.00 90.00°
Space group Cmmm (No. 65)
Symmetry-distinct sites (fractional):
Li  0.000  0.000  0.000
Cr  0.000  0.000  0.500
Cr  0.000  0.500  0.269

- calculated formation energy (meV per atom) = 272



(5)
A relaxed structure of Li2Cr, computed with GGA-PBE.

Cell: 2.5497 2.5497 7.3245 Å, 90.00 90.00 120.00°
Space group P-3m1 (No. 164)
Symmetry-distinct sites (fractional):
Li  0.3333  0.6667  0.3207
Cr  0.0000  0.0000  0.0000

- calculated formation energy (meV per atom) = 426



(6)
A relaxed structure of Li2Cr, computed with GGA-PBE.

Cell: 8.0681 8.0681 2.9035 Å, 90.00 90.00 120.00°
Space group P-62m (No. 189)
Symmetry-distinct sites (fractional):
Li  0.0000  0.3065  0.0000
Li  0.0000  0.6409  0.5000
Cr  0.0000  0.0000  0.5000
Cr  0.3333  0.6667  0.0000

- calculated formation energy (meV per atom) = 531



no.,DOS(E_F) (states/eV/f.u.)
1,3.65
2,3.20
3,3.21
4,4.46
5,2.62
6,1.55